Below is an optimized crystal structure of ReAu, with properties calculated at the PBE level.

Properties
**DFT formation energy**: 49.967 kcal/mol of atoms
**E above lowest polymorph**: 1583.1 meV/atom

Cell lengths 4.063, 4.063, 6.625 Å; angles 90.00, 90.00, 120.00 degrees
Fractional positions:
1 Re 0.333 0.667 0.874
2 Re 0.000 0.000 0.374
3 Au 0.000 0.000 0.001
4 Au 0.333 0.667 0.501